Here is an optimized crystal structure of NaPm2Er from Alexandria via LeMat-Bulk. Energies are from PBE.

- excess energy over the best structure of this formula in the dataset (meV per atom) = 27.1
- energy of formation (eV per atom) = 0.131

Geometry as POSCAR:
```
NaPm2Er
1.0
-2.4974 2.4064 -0.7290
-3.1769 -0.2162 1.5556
2.3288 8.0279 9.9086
Na Pm Er
1 2 1
direct
0.0000 0.0000 0.0000 Na
0.0924 0.0924 0.7229 Pm
0.9076 0.9076 0.2771 Pm
0.5000 0.5000 0.5000 Er
```